{
  "formula": "SmNiGe2Pt5",
  "functional": "GGA-PBE",
  "state": "relaxed",
  "cell": [[-0.6387, 2.4465, 3.2212], [-4.0150, -0.7797, -0.2039], [1.1382, -7.3871, 5.8362]],
  "species": ["Sm", "Ni", "Ge", "Ge", "Pt", "Pt", "Pt", "Pt", "Pt"],
  "fractional_positions": [[0.0000, 0.0000, 0.5000], [0.0000, 0.0000, 0.0000], [0.5000, 0.5000, 0.1245], [0.5000, 0.5000, 0.8755], [0.0000, 0.5000, 0.2679], [0.5000, 0.0000, 0.2679], [0.0000, 0.5000, 0.7321], [0.5000, 0.0000, 0.7321], [0.5000, 0.5000, 0.5000]],
  "dos_at_fermi_per_ev_fu": 3.1,
  "ef_kj_per_mol_atoms": -42
}

---

{
  "formula": "SmNiGePt",
  "functional": "GGA-PBE",
  "state": "relaxed",
  "cell": [[4.1094, 0.0000, 0.0000], [0.0000, 4.1905, 0.0000], [-2.0547, -2.0953, 4.7449]],
  "species": ["Sm", "Ni", "Ge", "Pt"],
  "fractional_positions": [[0.9652, 0.9652, 0.9304], [0.6018, 0.6018, 0.2037], [0.2086, 0.7086, 0.4172], [0.3397, 0.3397, 0.6794]],
  "dos_at_fermi_per_ev_fu": 2.3,
  "ef_kj_per_mol_atoms": -60
}

---

{
  "formula": "SmNiGePt3",
  "functional": "GGA-PBE",
  "state": "relaxed",
  "cell": [[5.6295, 0.0000, 0.0000], [0.0000, 6.8112, 0.0000], [0.0000, -3.4056, 5.7800]],
  "species": ["Sm", "Sm", "Ni", "Ni", "Ge", "Ge", "Pt", "Pt", "Pt", "Pt", "Pt", "Pt"],
  "fractional_positions": [[0.7500, 0.2859, 0.5719], [0.2500, 0.7141, 0.4281], [0.2500, 0.9398, 0.8796], [0.7500, 0.0602, 0.1204], [0.2500, 0.3692, 0.7385], [0.7500, 0.6308, 0.2615], [0.2500, 0.1627, 0.3255], [0.0000, 0.2881, 0.0000], [0.5000, 0.7119, 0.0000], [0.5000, 0.2881, 0.0000], [0.0000, 0.7119, 0.0000], [0.7500, 0.8373, 0.6745]],
  "dos_at_fermi_per_ev_fu": 5.8,
  "ef_kj_per_mol_atoms": -51
}

---

{
  "formula": "Sm2NiGe4Pt3",
  "functional": "GGA-PBE",
  "state": "relaxed",
  "cell": [[-3.4259, -2.5621, 0.2934], [-0.2807, -0.1144, -4.2773], [6.0840, -8.1561, -0.1811]],
  "species": ["Sm", "Sm", "Ni", "Ge", "Ge", "Ge", "Ge", "Pt", "Pt", "Pt"],
  "fractional_positions": [[0.5000, 0.0000, 0.2563], [0.0000, 0.5000, 0.7437], [0.5000, 0.5000, 0.5000], [0.5000, 0.5000, 0.0000], [0.0000, 0.0000, 0.0000], [0.5000, 0.0000, 0.6248], [0.0000, 0.5000, 0.3752], [0.0000, 0.0000, 0.5000], [0.5000, 0.0000, 0.8675], [0.0000, 0.5000, 0.1325]],
  "dos_at_fermi_per_ev_fu": 5.6,
  "ef_kj_per_mol_atoms": -83
}

---

{
  "formula": "SrNiGePt6",
  "functional": "GGA-PBE",
  "state": "relaxed",
  "cell": [[7.6317, 0.0000, 0.0000], [0.0000, 8.5084, 0.0000], [-3.8158, -4.2542, 5.7005]],
  "species": ["Sr", "Sr", "Ni", "Ni", "Ge", "Ge", "Pt", "Pt", "Pt", "Pt", "Pt", "Pt", "Pt", "Pt", "Pt", "Pt", "Pt", "Pt"],
  "fractional_positions": [[0.8620, 0.6120, 0.7240], [0.1380, 0.3880, 0.2760], [0.5000, 0.0000, 0.5000], [0.0000, 0.0000, 0.5000], [0.5000, 0.5000, 0.0000], [0.5000, 0.0000, 0.0000], [0.3960, 0.6460, 0.7920], [0.8773, 0.1273, 0.7546], [0.8774, 0.1103, 0.2526], [0.3753, 0.6424, 0.2526], [0.3753, 0.1103, 0.2526], [0.8774, 0.6424, 0.2526], [0.6040, 0.3540, 0.2080], [0.1227, 0.8727, 0.2454], [0.1226, 0.8897, 0.7474], [0.6247, 0.3577, 0.7474], [0.6247, 0.8897, 0.7474], [0.1226, 0.3577, 0.7474]],
  "dos_at_fermi_per_ev_fu": 7.1,
  "ef_kj_per_mol_atoms": -3
}

---

{
  "formula": "Sr2NiGe4Pt3",
  "functional": "GGA-PBE",
  "state": "relaxed",
  "cell": [[-3.8469, 0.1368, -2.1231], [0.5349, -4.1837, -1.2388], [-4.7868, -3.1207, 8.4723]],
  "species": ["Sr", "Sr", "Ni", "Ge", "Ge", "Ge", "Ge", "Pt", "Pt", "Pt"],
  "fractional_positions": [[0.5000, 0.0000, 0.2509], [0.0000, 0.5000, 0.7491], [0.5000, 0.5000, 0.5000], [0.5000, 0.5000, 0.0000], [0.0000, 0.0000, 0.0000], [0.5000, 0.0000, 0.6192], [0.0000, 0.5000, 0.3808], [0.0000, 0.0000, 0.5000], [0.5000, 0.0000, 0.8712], [0.0000, 0.5000, 0.1288]],
  "dos_at_fermi_per_ev_fu": 4.5,
  "ef_kj_per_mol_atoms": -71
}

---

{
  "formula": "TaNiGe2Pt",
  "functional": "GGA-PBE",
  "state": "relaxed",
  "cell": [[4.9253, 0.0000, 0.0000], [0.0000, 4.5375, 0.0000], [0.0000, 0.0000, 4.9253]],
  "species": ["Ni", "Ge", "Ge", "Pt", "Ta"],
  "fractional_positions": [[0.0000, 0.5000, 0.0000], [0.0000, 0.0000, 0.5000], [0.5000, 0.0000, 0.0000], [0.5000, 0.5000, 0.5000], [0.0000, 0.0000, 0.0000]],
  "dos_at_fermi_per_ev_fu": 4.8,
  "ef_kj_per_mol_atoms": 109
}

---

{
  "formula": "Ta2Ni7Ge2Pt",
  "functional": "GGA-PBE",
  "state": "relaxed",
  "cell": [[3.3917, -0.0018, 0.0151], [0.0024, 3.3917, 0.0151], [1.6740, 1.6720, 14.5647]],
  "species": ["Ta", "Ta", "Ni", "Ni", "Ni", "Ni", "Ni", "Ni", "Ni", "Ge", "Ge", "Pt"],
  "fractional_positions": [[0.6371, 0.6371, 0.7339], [0.3629, 0.3629, 0.2661], [0.5000, 0.5000, 0.0000], [0.2744, 0.2744, 0.4517], [0.7256, 0.7256, 0.5483], [0.9281, 0.4282, 0.1383], [0.4282, 0.9281, 0.1383], [0.5718, 0.0719, 0.8617], [0.0719, 0.5718, 0.8617], [0.8071, 0.8071, 0.3832], [0.1929, 0.1929, 0.6168], [0.0000, 0.0000, 0.0000]],
  "dos_at_fermi_per_ev_fu": 11.6,
  "ef_kj_per_mol_atoms": 2
}